*P*
VASP calculation (GGA-PBE) on a relaxed structure of Re2IrPt.

Calculated values
volume = 59.6 Å³ per cell
size of the total moment = 0.0 μB/f.u.
crystal system = monoclinic
density of states at the Fermi level = 3.4 states/eV per cell

a = 4.8108 Å, b = 4.8108 Å, c = 4.7648 Å
α = 80.58°, β = 80.58°, γ = 33.27°
With the nearest neighbours (Å) after each atom.
Positions (direct):
Ir1 0.7500 0.7500 0.7500  6 Re 2.74-2.78, 4 Pt 2.75, 2 Ir 2.75
Re1 0.0031 0.0031 0.9940  6 Re 2.71-2.79, 3 Ir 2.74-2.78, 3 Pt 2.76-2.80
Re2 0.4969 0.4969 0.5060  6 Re 2.71-2.79, 3 Ir 2.74-2.78, 3 Pt 2.76-2.80
Pt1 0.2500 0.2500 0.2500  4 Ir 2.75, 2 Pt 2.75, 6 Re 2.76-2.80

*Q*
VASP calculation (GGA-PBE) on a relaxed structure of Re2IrPt.

Calculated values
volume = 61.0 Å³ per cell
size of the total moment = 0.0 μB/f.u.
crystal system = cubic
density of states at the Fermi level = 2.7 states/eV per cell

a = 4.4197 Å, b = 4.4197 Å, c = 4.4197 Å
α = 60.00°, β = 60.00°, γ = 60.00°
With the nearest neighbours (Å) after each atom.
Positions (direct):
Ir1 0.5000 0.5000 0.5000  4 Re 2.71, 4 Pt 2.71
Pt1 0.7500 0.7500 0.7500  4 Re 2.71, 4 Ir 2.71
Re1 0.2500 0.2500 0.2500  4 Re 2.71, 4 Ir 2.71
Re2 0.0000 0.0000 0.0000  4 Pt 2.71, 4 Re 2.71

*R*
VASP calculation (GGA-PBE) on a relaxed structure of Re2IrPt.

Calculated values
volume = 59.5 Å³ per cell
size of the total moment = 0.0 μB/f.u.
crystal system = orthorhombic
density of states at the Fermi level = 3.7 states/eV per cell

a = 2.7242 Å, b = 4.0085 Å, c = 5.4516 Å
α = 90.00°, β = 90.00°, γ = 90.00°
With the nearest neighbours (Å) after each atom.
Positions (direct):
Re1 0.0000 0.0000 0.4906  4 Re 2.62-2.83, 4 Ir 2.76, 4 Pt 2.81
Re2 0.0000 0.0000 0.0094  4 Re 2.62-2.83, 4 Ir 2.76, 4 Pt 2.81
Ir1 0.5000 0.5000 0.2500  2 Ir 2.72, 2 Pt 2.73, 8 Re 2.76
Pt1 0.5000 0.5000 0.7500  2 Pt 2.72, 2 Ir 2.73, 8 Re 2.81

Stability check: which of them is least stable? *Q*.

*P*
VASP calculation (GGA-PBE) on a relaxed structure of Re2IrPt.

Calculated values
volume = 59.4 Å³ per cell
size of the total moment = 0.0 μB/f.u.
crystal system = tetragonal
density of states at the Fermi level = 2.6 states/eV per cell

a = 4.8537 Å, b = 4.8537 Å, c = 4.8537 Å
α = 133.36°, β = 133.36°, γ = 68.08°
With the nearest neighbours (Å) after each atom.
Positions (direct):
Ir1 0.2500 0.7500 0.5000  4 Pt 2.72, 8 Re 2.78
Pt1 0.7500 0.2500 0.5000  4 Ir 2.72, 8 Re 2.78
Re1 0.5000 0.5000 0.0000  4 Re 2.72, 4 Pt 2.78, 4 Ir 2.78
Re2 0.0000 0.0000 0.0000  4 Re 2.72, 4 Ir 2.78, 4 Pt 2.78

*Q*
VASP calculation (GGA-PBE) on a relaxed structure of Re2IrPt.

Calculated values
volume = 60.9 Å³ per cell
size of the total moment = 0.0 μB/f.u.
crystal system = tetragonal
density of states at the Fermi level = 4.1 states/eV per cell

a = 3.3091 Å, b = 3.3091 Å, c = 5.5639 Å
α = 90.00°, β = 90.00°, γ = 90.00°
With the nearest neighbours (Å) after each atom.
Positions (direct):
Ir1 0.0000 0.0000 0.4976  6 Re 2.70-2.80, 4 Pt 2.72
Pt1 0.5000 0.5000 0.7459  4 Ir 2.72, 6 Re 2.73-2.83
Re1 0.5000 0.5000 0.2546  4 Ir 2.70, 4 Re 2.73, 2 Pt 2.73-2.83
Re2 0.0000 0.0000 0.0018  4 Re 2.73, 4 Pt 2.74, 2 Ir 2.76-2.80

Stability check: which of them is least stable? *Q*.

*P*
VASP calculation (GGA-PBE) on a relaxed structure of ReIrPt2.

Calculated values
volume = 60.2 Å³ per cell
size of the total moment = 0.0 μB/f.u.
crystal system = tetragonal
density of states at the Fermi level = 4.1 states/eV per cell

a = 4.8248 Å, b = 4.8248 Å, c = 4.8248 Å
α = 132.34°, β = 132.34°, γ = 69.69°
With the nearest neighbours (Å) after each atom.
Positions (direct):
Ir1 0.7500 0.2500 0.5000  8 Pt 2.76-2.78, 4 Re 2.78
Pt1 0.2500 0.7500 0.5000  4 Ir 2.76, 4 Pt 2.78, 4 Re 2.78
Re1 0.5000 0.5000 0.0000  8 Pt 2.76-2.78, 4 Ir 2.78
Pt2 0.0000 0.0000 0.0000  4 Re 2.76, 4 Pt 2.78, 4 Ir 2.78

*Q*
VASP calculation (GGA-PBE) on a relaxed structure of ReIrPt2.

Calculated values
volume = 60.4 Å³ per cell
size of the total moment = 0.0 μB/f.u.
crystal system = tetragonal
density of states at the Fermi level = 4.4 states/eV per cell

a = 2.7555 Å, b = 2.7555 Å, c = 7.9516 Å
α = 90.00°, β = 90.00°, γ = 90.00°
With the nearest neighbours (Å) after each atom.
Positions (direct):
Ir1 0.5000 0.5000 0.7500  4 Ir 2.76, 8 Pt 2.82
Re1 0.5000 0.5000 0.2500  8 Pt 2.75, 4 Re 2.76
Pt1 0.0000 0.0000 0.4935  4 Re 2.75, 4 Pt 2.76, 4 Ir 2.82
Pt2 0.0000 0.0000 0.0065  4 Re 2.75, 4 Pt 2.76, 4 Ir 2.82

Stability check: which of them is least stable? *Q*.

*P*
VASP calculation (GGA-PBE) on a relaxed structure of ReIrPt2.

Calculated values
volume = 60.4 Å³ per cell
size of the total moment = 0.0 μB/f.u.
crystal system = orthorhombic
density of states at the Fermi level = 2.9 states/eV per cell

a = 2.7617 Å, b = 3.9117 Å, c = 5.5930 Å
α = 90.00°, β = 90.00°, γ = 90.00°
With the nearest neighbours (Å) after each atom.
Positions (direct):
Re1 0.0000 0.0000 0.5111  4 Ir 2.70, 6 Pt 2.72-2.87, 2 Re 2.76
Ir1 0.5000 0.5000 0.7344  6 Pt 2.67-2.92, 4 Re 2.70, 2 Ir 2.76
Pt1 0.0000 0.0000 0.9976  2 Re 2.72-2.87, 6 Pt 2.76-2.80, 4 Ir 2.81
Pt2 0.5000 0.5000 0.2569  2 Ir 2.67-2.92, 6 Pt 2.76-2.80, 4 Re 2.78

*Q*
VASP calculation (GGA-PBE) on a relaxed structure of ReIrPt2.

Calculated values
volume = 134.1 Å³ per cell
size of the total moment = 0.0 μB/f.u.
crystal system = tetragonal
density of states at the Fermi level = 9.3 states/eV per cell

a = 7.0949 Å, b = 7.0949 Å, c = 5.6805 Å
α = 51.35°, β = 51.35°, γ = 90.00°
With the nearest neighbours (Å) after each atom.
Positions (direct):
Pt1 0.6117 0.1250 0.2500  2 Re 2.53, 2 Ir 2.66, 2 Pt 2.67
Pt2 0.1383 0.6250 0.2500  2 Re 2.53, 2 Ir 2.66, 2 Pt 2.67
Ir1 0.0000 0.0000 0.0000  4 Pt 2.66, 2 Re 2.66
Ir2 0.7500 0.2500 0.5000  4 Pt 2.66, 2 Re 2.66
Re1 0.5000 0.5000 0.0000  4 Pt 2.53, 2 Ir 2.66
Pt3 0.3750 0.3883 0.7500  2 Re 2.53, 2 Ir 2.66, 2 Pt 2.67
Pt4 0.8750 0.8617 0.7500  2 Re 2.53, 2 Ir 2.66, 2 Pt 2.67
Re2 0.2500 0.7500 0.5000  4 Pt 2.53, 2 Ir 2.66

*R*
VASP calculation (GGA-PBE) on a relaxed structure of ReIrPt2.

Calculated values
volume = 60.6 Å³ per cell
size of the total moment = 0.5 μB/f.u.
crystal system = trigonal
density of states at the Fermi level = 5.6 states/eV per cell

a = 9.2152 Å, b = 9.2152 Å, c = 9.2152 Å
α = 17.33°, β = 17.33°, γ = 17.33°
With the nearest neighbours (Å) after each atom.
Positions (direct):
Ir1 0.7500 0.7500 0.7500  6 Ir 2.78, 6 Pt 2.82
Pt1 0.9981 0.9981 0.9981  3 Re 2.74, 6 Pt 2.78, 3 Ir 2.82
Pt2 0.5019 0.5019 0.5019  3 Re 2.74, 6 Pt 2.78, 3 Ir 2.82
Re1 0.2500 0.2500 0.2500  6 Pt 2.74, 6 Re 2.78

Stability check: which of them is least stable? *Q*.

*P*
VASP calculation (GGA-PBE) on a relaxed structure of ReIrPt2.

Calculated values
volume = 60.8 Å³ per cell
size of the total moment = 0.0 μB/f.u.
crystal system = trigonal
density of states at the Fermi level = 4.1 states/eV per cell

a = 9.2438 Å, b = 9.2438 Å, c = 9.2438 Å
α = 17.27°, β = 17.27°, γ = 17.27°
With the nearest neighbours (Å) after each atom.
Positions (direct):
Ir1 0.7544 0.7544 0.7544  3 Re 2.63, 6 Ir 2.78, 3 Pt 2.86
Re1 0.4976 0.4976 0.4976  3 Ir 2.63, 3 Pt 2.77, 6 Re 2.78
Pt1 0.0012 0.0012 0.0012  9 Pt 2.78-2.88, 3 Ir 2.86
Pt2 0.2469 0.2469 0.2469  3 Re 2.77, 9 Pt 2.78-2.88

*Q*
VASP calculation (GGA-PBE) on a relaxed structure of ReIrPt2.

Calculated values
volume = 60.5 Å³ per cell
size of the total moment = 0.0 μB/f.u.
crystal system = tetragonal
density of states at the Fermi level = 6.6 states/eV per cell

a = 3.9101 Å, b = 3.9101 Å, c = 3.9551 Å
α = 90.00°, β = 90.00°, γ = 90.00°
With the nearest neighbours (Å) after each atom.
Positions (direct):
Pt1 0.5000 0.5000 0.0000  4 Pt 2.76, 4 Re 2.78, 4 Ir 2.78
Ir1 0.0000 0.5000 0.5000  4 Re 2.76, 8 Pt 2.78
Re1 0.5000 0.0000 0.5000  4 Ir 2.76, 8 Pt 2.78
Pt2 0.0000 0.0000 0.0000  4 Pt 2.76, 4 Re 2.78, 4 Ir 2.78

*R*
VASP calculation (GGA-PBE) on a relaxed structure of ReIrPt2.

Calculated values
volume = 60.3 Å³ per cell
size of the total moment = 0.0 μB/f.u.
crystal system = monoclinic
density of states at the Fermi level = 5.0 states/eV per cell

a = 4.8109 Å, b = 4.8109 Å, c = 4.8201 Å
α = 80.68°, β = 80.68°, γ = 33.27°
With the nearest neighbours (Å) after each atom.
Positions (direct):
Pt1 0.7529 0.7529 0.7472  4 Ir 2.72-2.84, 5 Pt 2.74-2.81, 3 Re 2.79-2.80
Pt2 0.9985 0.9985 0.9993  4 Re 2.74-2.81, 5 Pt 2.74-2.81, 3 Ir 2.80-2.82
Ir1 0.2462 0.2462 0.2639  3 Re 2.70-2.76, 7 Pt 2.72-2.84, 2 Ir 2.75
Re1 0.5024 0.5024 0.4896  3 Ir 2.70-2.76, 7 Pt 2.74-2.81, 2 Re 2.75

Stability check: which of them is least stable? *Q*.